A plane-wave DFT calculation with GGA-PBE was carried out for an optimized crystal structure of BeHN2.

Energy above the lowest structure with this stoichiometry: 0.979 eV/atom

a = 5.627 Å, b = 5.627 Å, c = 5.627 Å
α = 24.81°, β = 24.81°, γ = 24.81°
Sites, in units of the cell vectors:
Be 0.000 0.000 0.000
H 0.500 0.500 0.500
N 0.905 0.905 0.905
N 0.095 0.095 0.095

A plane-wave DFT calculation with GGA-PBE was carried out for an optimized crystal structure of Be2HN.

Energy above the lowest structure with this stoichiometry: 0.000 eV/atom

a = 3.861 Å, b = 3.861 Å, c = 4.906 Å
α = 66.82°, β = 66.82°, γ = 90.00°
Sites, in units of the cell vectors:
Be 0.375 0.325 0.750
Be 0.075 0.625 0.250
N 0.750 0.250 0.500
H 0.250 0.750 0.500
N 0.000 0.000 0.000
Be 0.875 0.925 0.750
H 0.500 0.500 0.000
Be 0.675 0.125 0.250

A plane-wave DFT calculation with GGA-PBE was carried out for an optimized crystal structure of BeHN.

Energy above the lowest structure with this stoichiometry: 0.784 eV/atom

a = 4.930 Å, b = 2.461 Å, c = 5.505 Å
α = 90.00°, β = 90.00°, γ = 90.00°
Sites, in units of the cell vectors:
Be 0.087 0.750 0.178
H 0.275 0.250 0.943
N 0.279 0.250 0.385
Be 0.413 0.250 0.678
Be 0.913 0.250 0.822
H 0.225 0.750 0.443
Be 0.587 0.750 0.322
H 0.725 0.750 0.057
H 0.775 0.250 0.557
N 0.779 0.250 0.115
N 0.221 0.750 0.885
N 0.721 0.750 0.615

A plane-wave DFT calculation with GGA-PBE was carried out for an optimized crystal structure of Be3HN.

Energy above the lowest structure with this stoichiometry: 0.000 eV/atom

a = 3.361 Å, b = 3.361 Å, c = 3.361 Å
α = 90.00°, β = 90.00°, γ = 90.00°
Sites, in units of the cell vectors:
Be 0.000 0.500 0.000
Be 0.000 0.000 0.500
H 0.500 0.500 0.500
N 0.000 0.000 0.000
Be 0.500 0.000 0.000

A plane-wave DFT calculation with GGA-PBE was carried out for an optimized crystal structure of BeHN.

Energy above the lowest structure with this stoichiometry: 0.732 eV/atom

a = 2.748 Å, b = 2.748 Å, c = 2.988 Å
α = 117.38°, β = 117.38°, γ = 90.00°
Sites, in units of the cell vectors:
H 0.676 0.676 0.353
Be 0.273 0.273 0.547
N 0.900 0.900 0.800

A plane-wave DFT calculation with GGA-PBE was carried out for an optimized crystal structure of BeHN2.

Energy above the lowest structure with this stoichiometry: 0.000 eV/atom

a = 4.488 Å, b = 4.488 Å, c = 4.488 Å
α = 36.02°, β = 36.02°, γ = 36.02°
Sites, in units of the cell vectors:
Be 0.500 0.500 0.500
N 0.098 0.098 0.098
H 0.000 0.000 0.000
N 0.902 0.902 0.902